Here is crystalline V3SbW at its relaxed geometry from Alexandria via LeMat-Bulk. Energies are from PBE.

Distance to the lowest polymorph of the same formula, meV/atom: 722
Magnetic moment, μB/cell: 2.8
E_form (uncorrected), meV per atom: 1911
Calculated volume, Å³ per atom: 21.0

Lattice parameters (Å, degrees): 4.718 4.718 4.718 90.00 90.00 90.00
Atoms (fractional coordinates):
Sb: 0.000 0.000 0.000
W: 0.500 0.500 0.500
V: 0.000 0.500 0.000
V: 0.000 0.000 0.500
V: 0.500 0.000 0.000